1.
Compound: Ca4Tl2Hg
Source: the Alexandria database
Functional: PBE-GGA
Structure: optimized geometry

The structure in CIF format:
```
data_Ca4Tl2Hg
_symmetry_space_group_name_H-M 'I 4/m m m'
_symmetry_Int_Tables_number 139
_symmetry_space_group_name_Hall '-I 4 2'
_cell_length_a 5.819
_cell_length_b 5.819
_cell_length_c 15.620
_cell_angle_alpha 90.00
_cell_angle_beta 90.00
_cell_angle_gamma 90.00
loop_
_atom_site_label
_atom_site_type_symbol
_atom_site_fract_x
_atom_site_fract_y
_atom_site_fract_z
Ca1 Ca 0.000 0.000 0.194
Ca2 Ca 0.000 0.500 0.000
Tl1 Tl 0.000 0.000 0.394
Hg1 Hg 0.000 0.000 0.000
```

2.
Compound: RhI2BrO
Source: the Alexandria database
Functional: PBE-GGA
Structure: optimized geometry

The structure in CIF format:
```
data_RhI2BrO
_symmetry_space_group_name_H-M 'P 4/m m m'
_symmetry_Int_Tables_number 123
_symmetry_space_group_name_Hall '-P 4 2'
_cell_length_a 5.764
_cell_length_b 5.764
_cell_length_c 3.724
_cell_angle_alpha 90.00
_cell_angle_beta 90.00
_cell_angle_gamma 90.00
loop_
_atom_site_label
_atom_site_type_symbol
_atom_site_fract_x
_atom_site_fract_y
_atom_site_fract_z
Rh1 Rh 0.000 0.000 0.000
I1 I 0.000 0.500 0.000
Br1 Br 0.500 0.500 0.500
O1 O 0.000 0.000 0.500
```

3.
Compound: MgScAu
Source: the Alexandria database
Functional: PBE-GGA
Structure: optimized geometry

The structure in CIF format:
```
data_MgScAu
_symmetry_space_group_name_H-M 'I 4 m m'
_symmetry_Int_Tables_number 107
_symmetry_space_group_name_Hall 'I 4 -2'
_cell_length_a 3.290
_cell_length_b 3.290
_cell_length_c 11.465
_cell_angle_alpha 90.00
_cell_angle_beta 90.00
_cell_angle_gamma 90.00
loop_
_atom_site_label
_atom_site_type_symbol
_atom_site_fract_x
_atom_site_fract_y
_atom_site_fract_z
Mg1 Mg 0.000 0.000 0.000
Sc1 Sc 0.000 0.000 0.295
Au1 Au 0.000 0.000 0.648
```

4.
Compound: IrSe2I
Source: the Alexandria database
Functional: PBE-GGA
Structure: optimized geometry

The structure in CIF format:
```
data_IrSe2I
_symmetry_space_group_name_H-M 'R -3 m'
_symmetry_Int_Tables_number 166
_symmetry_space_group_name_Hall '-R 3 2"'
_cell_length_a 3.8988
_cell_length_b 3.8988
_cell_length_c 23.7581
_cell_angle_alpha 90.00
_cell_angle_beta 90.00
_cell_angle_gamma 120.00
loop_
_atom_site_label
_atom_site_type_symbol
_atom_site_fract_x
_atom_site_fract_y
_atom_site_fract_z
Ir1 Ir 0.0000 0.0000 0.0000
Se1 Se 0.0000 0.0000 0.3822
I1 I 0.0000 0.0000 0.5000
```

5.
Compound: Tl2HgO2
Source: the Alexandria database
Functional: PBE-GGA
Structure: optimized geometry

The structure in CIF format:
```
data_Tl2HgO2
_symmetry_space_group_name_H-M 'I 4/m m m'
_symmetry_Int_Tables_number 139
_symmetry_space_group_name_Hall '-I 4 2'
_cell_length_a 4.253
_cell_length_b 4.253
_cell_length_c 10.679
_cell_angle_alpha 90.00
_cell_angle_beta 90.00
_cell_angle_gamma 90.00
loop_
_atom_site_label
_atom_site_type_symbol
_atom_site_fract_x
_atom_site_fract_y
_atom_site_fract_z
Tl1 Tl 0.000 0.000 0.151
Hg1 Hg 0.000 0.000 0.500
O1 O 0.000 0.500 0.250
```

6.
Compound: HoErPdPt
Source: the Alexandria database
Functional: PBE-GGA
Structure: optimized geometry

The structure in CIF format:
```
data_HoErPdPt
_symmetry_space_group_name_H-M 'A m m 2'
_symmetry_Int_Tables_number 38
_symmetry_space_group_name_Hall 'A 2 -2'
_cell_length_a 4.478
_cell_length_b 3.740
_cell_length_c 10.471
_cell_angle_alpha 90.00
_cell_angle_beta 90.00
_cell_angle_gamma 90.00
loop_
_atom_site_label
_atom_site_type_symbol
_atom_site_fract_x
_atom_site_fract_y
_atom_site_fract_z
Ho1 Ho 0.000 0.000 0.000
Er1 Er 0.500 0.000 0.724
Pd1 Pd 0.000 0.000 0.274
Pt1 Pt 0.500 0.000 0.449
```

7.
Compound: CsScCuTe3
Source: the Alexandria database
Functional: PBE-GGA
Structure: optimized geometry

The structure in CIF format:
```
data_CsScCuTe3
_symmetry_space_group_name_H-M 'P 1 21/m 1'
_symmetry_Int_Tables_number 11
_symmetry_space_group_name_Hall '-P 2yb'
_cell_length_a 10.344
_cell_length_b 4.158
_cell_length_c 10.840
_cell_angle_alpha 90.00
_cell_angle_beta 117.82
_cell_angle_gamma 90.00
loop_
_atom_site_label
_atom_site_type_symbol
_atom_site_fract_x
_atom_site_fract_y
_atom_site_fract_z
Cs1 Cs 0.220 0.250 0.246
Sc1 Sc 0.326 0.750 0.853
Cu1 Cu 0.080 0.250 0.593
Te1 Te 0.129 0.250 0.853
Te2 Te 0.207 0.750 0.545
Te3 Te 0.477 0.750 0.158
```

| no. | energy (eV/f.u.) | V (A^3/atom) |
| --- | --- | --- |
| 1 | -14.14 | 37.8 |
| 2 | -16.80 | 24.7 |
| 3 | -12.70 | 20.7 |
| 4 | -18.03 | 26.1 |
| 5 | -16.83 | 19.3 |
| 6 | -24.89 | 21.9 |
| 7 | -25.92 | 34.4 |